(1)
! CrP2Au PBE-GGA relaxed; values from VASP
&SYSTEM
  ibrav = 0, nat = 8, ntyp = 3
/
ATOMIC_SPECIES
P 30.97 P.upf
Cr 52.00 Cr.upf
Au 196.97 Au.upf
ATOMIC_POSITIONS angstrom
P 4.7314 -8.0385 4.3446
P 3.1700 -3.2521 0.3746
P 4.0248 -4.5812 3.7175
P 0.3974 -3.4077 2.6403
Cr 4.5336 -4.6006 1.5347
Cr 0.9730 -3.6799 0.4913
Au 1.6282 -5.0391 4.0038
Au 0.0000 0.0000 0.0000
CELL_PARAMETERS angstrom
-1.9324 -4.1185 2.9604
3.8783 -3.2414 -1.9778
4.2159 -2.2799 4.5559
! - formation energy from the elements (eV per atom) = 0.131
! - ΔE to the lowest computed polymorph (meV/atom) = 118
! - space-group type = I-42d, No. 122

=====

(2)
! NaSr2Au2 PBE-GGA relaxed; values from VASP
&SYSTEM
  ibrav = 0, nat = 10, ntyp = 3
/
ATOMIC_SPECIES
Na 22.99 Na.upf
Au 196.97 Au.upf
Sr 87.62 Sr.upf
ATOMIC_POSITIONS angstrom
Na 0.0000 0.0000 0.0000
Na 1.7449 -5.5650 -2.5253
Au 1.3562 -5.8769 1.4035
Au -1.3906 -3.2811 -1.7276
Au -1.0153 -6.8815 -5.0416
Au 1.7314 -9.4773 -1.9105
Sr 1.9958 -8.0626 -4.8454
Sr -0.1695 -3.7433 -4.6933
Sr 1.4941 -3.0674 -0.2052
Sr 3.6594 -7.3867 -0.3573
CELL_PARAMETERS angstrom
-1.3924 -4.1270 -7.8620
4.8823 -7.0029 2.8114
-3.1490 -1.6284 1.4125
! - formation energy from the elements (eV per atom) = -0.477
! - ΔE to the lowest computed polymorph (meV/atom) = 146
! - space-group type = P4/mbm, No. 127

=====

(3)
! AcTlPd PBE-GGA relaxed; values from VASP
&SYSTEM
  ibrav = 0, nat = 3, ntyp = 3
/
ATOMIC_SPECIES
Pd 106.42 Pd.upf
Tl 204.38 Tl.upf
Ac 227.00 Ac.upf
ATOMIC_POSITIONS angstrom
Pd -0.7586 -2.3972 1.7912
Tl 0.0000 0.0000 0.0000
Ac -1.5172 -4.7945 3.5825
CELL_PARAMETERS angstrom
-0.0984 -1.7333 4.7330
-3.7799 -2.9701 1.5186
0.8440 -4.8856 0.9133
! - formation energy from the elements (eV per atom) = -0.524
! - ΔE to the lowest computed polymorph (meV/atom) = 110
! - space-group type = F-43m, No. 216

=====

(4)
! PuHfCu10 PBE-GGA relaxed; values from VASP
&SYSTEM
  ibrav = 0, nat = 12, ntyp = 3
/
ATOMIC_SPECIES
Cu 63.55 Cu.upf
Pu 244.00 Pu.upf
Hf 178.49 Hf.upf
ATOMIC_POSITIONS angstrom
Cu 2.0406 2.4876 0.0000
Cu 2.0406 0.0000 4.2948
Cu 0.0000 0.0000 2.9337
Cu 0.0000 0.0000 5.6559
Cu 2.0406 3.7045 6.3649
Cu 2.0406 1.2707 2.2247
Cu 0.0000 2.4876 1.5216
Cu 2.0406 1.2707 6.3649
Cu 2.0406 3.7045 2.2247
Cu 0.0000 2.4876 7.0680
Pu 0.0000 0.0000 0.0000
Hf 0.0000 2.4876 4.2948
CELL_PARAMETERS angstrom
4.0811 0.0000 0.0000
0.0000 4.9753 0.0000
0.0000 0.0000 8.5897
! - formation energy from the elements (eV per atom) = -0.021
! - space-group type = Pmmm, No. 47